A relaxed Li2BePb crystal, computed with GGA-PBE.

```
4
Lattice="0.000 3.203 3.203 3.203 0.000 3.203 3.203 3.203 0.000" Properties=species:S:1:pos:R:3 pbc="T T T"
Li 1.602 1.602 1.602
Li 4.805 4.805 4.805
Be 0.000 0.000 0.000
Pb 3.203 3.203 3.203
```

Values from the calculation:
energy relative to the elements	0.11	eV/atom
distance to the lowest polymorph of the same formula	0.1271	eV per atom
total energy	-2.70	eV per atom
calculated volume	16.43	Å³ per atom
spin magnetization	0.00	μB per atom

=====

A relaxed SmHoCdRu crystal, computed with GGA-PBE.

```
4
Lattice="0.000 3.587 3.587 3.587 0.000 3.587 3.587 3.587 0.000" Properties=species:S:1:pos:R:3 pbc="T T T"
Sm 0.000 0.000 0.000
Ho 3.587 3.587 3.587
Cd 1.794 1.794 1.794
Ru 5.381 5.381 5.381
```

Values from the calculation:
energy relative to the elements	-0.25	eV/atom
distance to the lowest polymorph of the same formula	0.1064	eV per atom
total energy	-5.12	eV per atom
calculated volume	23.08	Å³ per atom
spin magnetization	0.00	μB per atom

=====

calculated volume of number 2 (SmHoCdRu)? 23.08 Å³ per atom